[1]
Compound: Ca4Cd
Source: Alexandria
Functional: GGA-PBE
Structure: relaxed

Summary:
Its space group is Im-3m (229). The value obtained for the density of states at the Fermi level is 5.8 states/eV per cell. For the excess energy over the best structure of this formula in the dataset, the calculation gives 222.0 meV/atom. The value obtained for the magnetic moment is 0.000 μB/f.u. The calculation puts the total energy at -8.5 eV per formula unit.

Lattice parameters (Å, degrees): 6.436 6.436 6.436 109.47 109.47 109.47
Positions (direct):
Ca1 0.500 0.500 0.500
Ca2 0.500 0.000 0.000
Ca3 0.000 0.500 0.000
Ca4 0.000 0.000 0.500
Cd1 0.000 0.000 0.000


[2]
Compound: Mg4Mn2Ge
Source: Alexandria
Functional: GGA-PBE
Structure: relaxed

Summary:
Its space group is I4/mmm (139). The value obtained for the density of states at the Fermi level is 4.4 states/eV per cell. The value obtained for the magnetic moment is 7.967 μB/f.u. The calculation puts the total energy at -25.3 eV per formula unit.

Lattice parameters (Å, degrees): 5.121 5.121 7.635 70.40 70.40 90.00
Positions (direct):
Mg1 0.000 0.500 0.000
Mg2 0.198 0.198 0.603
Mg3 0.802 0.802 0.397
Mg4 0.500 0.000 0.000
Mn1 0.403 0.403 0.194
Mn2 0.597 0.597 0.806
Ge1 0.000 0.000 0.000


[3]
Compound: Rb2RuF5
Source: Alexandria
Functional: GGA-PBE
Structure: relaxed

Summary:
For the formation energy (no corrections), the calculation gives -2.112 eV per atom. Its space group is Fmm2 (42). The value obtained for the density of states at the Fermi level is 7.4 states/eV per cell. The value obtained for the magnetic moment is 3.001 μB/f.u. The calculation puts the total energy at -37.5 eV per formula unit.

Lattice parameters (Å, degrees): 6.313 6.313 6.154 120.99 120.99 89.78
Positions (direct):
F1 0.228 0.228 0.015
F2 0.750 0.750 0.499
F3 0.229 0.787 0.016
F4 0.787 0.787 0.015
F5 0.787 0.229 0.016
Rb1 0.248 0.748 0.496
Rb2 0.748 0.248 0.496
Ru1 0.001 0.001 0.002